A geometry-optimized HfCuPd3 structure. Source: the Alexandria database, functional PBE-GGA.

Cell: 4.011 5.546 13.962 Å, 90.00 90.00 90.00°
Atoms (fractional coordinates):
Pd  0.750  0.851  0.453
Pd  0.250  0.166  0.751
Pd  0.250  0.583  0.356
Pd  0.250  0.666  0.749
Pd  0.750  0.334  0.251
Pd  0.750  0.834  0.249
Pd  0.750  0.417  0.644
Pd  0.750  0.917  0.856
Pd  0.250  0.149  0.547
Pd  0.250  0.649  0.953
Pd  0.750  0.351  0.047
Pd  0.250  0.083  0.144
Cu  0.250  0.637  0.552
Cu  0.250  0.137  0.948
Cu  0.750  0.363  0.448
Cu  0.750  0.863  0.052
Hf  0.750  0.913  0.651
Hf  0.750  0.413  0.849
Hf  0.250  0.087  0.349
Hf  0.250  0.587  0.151

## Properties
As for the crystal system: orthorhombic. As for the formation energy: -0.636 eV per atom.

***

A geometry-optimized Ba2HAu structure. Source: the Alexandria database, functional PBE-GGA.

Cell: 4.917 6.409 16.462 Å, 90.00 90.00 90.00°
Atoms (fractional coordinates):
H  0.750  0.174  0.326
H  0.250  0.326  0.826
H  0.750  0.674  0.174
H  0.250  0.826  0.674
Au  0.750  0.363  0.525
Au  0.250  0.137  0.025
Au  0.750  0.863  0.975
Au  0.250  0.637  0.475
Ba  0.250  0.390  0.664
Ba  0.250  0.138  0.402
Ba  0.750  0.362  0.902
Ba  0.750  0.110  0.164
Ba  0.750  0.862  0.598
Ba  0.750  0.610  0.336
Ba  0.250  0.890  0.836
Ba  0.250  0.638  0.098

## Properties
As for the crystal system: orthorhombic. For the total DFT energy (no corrections), the calculation gives -3.122 eV per atom.

***

A geometry-optimized BiPtAu3 structure. Source: the Alexandria database, functional PBE-GGA.

Cell: 5.250 5.250 5.250 Å, 90.00 90.00 90.00°
Atoms (fractional coordinates):
Pt  0.500  0.500  0.500
Au  0.000  0.500  0.000
Au  0.000  0.000  0.500
Au  0.500  0.000  0.000
Bi  0.000  0.000  0.000

## Properties
As for the crystal system: cubic. As for the formation energy: 1.186 eV per atom.

***

A geometry-optimized PaBiSb2 structure. Source: the Alexandria database, functional PBE-GGA.

Cell: 4.091 4.091 6.587 Å, 90.00 90.00 90.00°
Atoms (fractional coordinates):
Bi  0.500  0.500  0.000
Pa  0.500  0.500  0.500
Sb  0.000  0.000  0.726
Sb  0.000  0.000  0.274

## Properties
The value obtained for the formation energy (no corrections) is -235 meV per atom. As for the crystal system: tetragonal.

***

Number 1: calculated density 12.00 Mg/m³. Number 2: calculated density 6.05 Mg/m³. Number 3: calculated density 11.41 Mg/m³. Number 4: calculated density 10.30 Mg/m³.